(1)
Compound: PmPuNiRu
Source: the Alexandria database
Functional: PBE
Structure: relaxed

Cell lengths 6.8528, 6.8528, 6.8528 Å; angles 90.00, 90.00, 90.00 degrees
Space group F-43m (No. 216)
Inequivalent atoms, fractional coordinates:
Pm 0.0000 0.0000 0.0000 (multiplicity 4)
Pu 0.0000 0.0000 0.5000 (multiplicity 4)
Ni 0.2500 0.2500 0.7500 (multiplicity 4)
Ru 0.2500 0.2500 0.2500 (multiplicity 4)

Energy of formation from the pure elements   -0.110 eV/atom
D(E_F)   2.246 states/eV per atom

=====

(2)
Compound: Pm2PuSi3Ni4
Source: the Alexandria database
Functional: PBE
Structure: relaxed

Cell lengths 4.1586, 4.1586, 9.9123 Å; angles 90.00, 90.00, 90.00 degrees
Space group P-4m2 (No. 115)
Inequivalent atoms, fractional coordinates:
Pm 0.0000 0.5000 0.2280 (multiplicity 2)
Pu 0.0000 0.0000 0.5000 (multiplicity 1)
Si 0.0000 0.5000 0.8859 (multiplicity 2)
Si 0.5000 0.5000 0.5000 (multiplicity 1)
Ni 0.0000 0.0000 0.0000 (multiplicity 1)
Ni 0.0000 0.5000 0.6538 (multiplicity 2)
Ni 0.5000 0.5000 0.0000 (multiplicity 1)

Formation energy (no corrections)   -0.616 eV per atom
D(E_F)   1.105 states/eV per atom